# 1
Here is La5Ag24 after structural relaxation from Alexandria via LeMat-Bulk. Energies are from PBEsol.

Geometry as POSCAR:
```
La5Ag24
1.0
-7.8347 4.4726 -0.2854
-0.5523 -6.6514 6.0763
6.6189 5.6723 2.3415
Ag La
24 5
Direct
0.6222 0.8125 0.6222 Ag
0.8097 0.1875 0.8097 Ag
0.1903 0.0000 0.3778 Ag
0.3778 0.0000 0.1903 Ag
0.8125 0.6222 0.6222 Ag
0.1875 0.8097 0.8097 Ag
0.0000 0.3778 0.1903 Ag
0.0000 0.1903 0.3778 Ag
0.6222 0.6222 0.8125 Ag
0.8097 0.8097 0.1875 Ag
0.3778 0.1903 0.0000 Ag
0.1903 0.3778 0.0000 Ag
0.5992 0.2694 0.5992 Ag
0.3298 0.7306 0.3298 Ag
0.6702 0.0000 0.4008 Ag
0.4008 0.0000 0.6702 Ag
0.2694 0.5992 0.5992 Ag
0.7306 0.3298 0.3298 Ag
0.0000 0.4008 0.6702 Ag
0.0000 0.6702 0.4008 Ag
0.5992 0.5992 0.2694 Ag
0.3298 0.3298 0.7306 Ag
0.4008 0.6702 0.0000 Ag
0.6702 0.4008 0.0000 Ag
0.3724 0.3724 0.3724 La
0.0000 0.6276 0.0000 La
0.0000 0.0000 0.6276 La
0.6276 0.0000 0.0000 La
0.0000 0.0000 0.0000 La
```

Values from the calculation:
SG: I-43m, No. 217
Volume: 19.5 Å³/atom
Energy relative to the elements: -0.107 eV per atom

# 2
Here is Mn3Ag after structural relaxation from Alexandria via LeMat-Bulk. Energies are from PBEsol.

Geometry as POSCAR:
```
Mn3Ag
1.0
2.6068 0.0000 0.0000
0.0000 4.1558 0.0000
0.0000 0.0000 4.6263
Ag Mn
1 3
Direct
0.0000 0.0000 0.0084 Ag
0.0000 0.5000 0.3518 Mn
0.5000 0.0000 0.5077 Mn
0.5000 0.5000 0.7987 Mn
```

Values from the calculation:
SG: Pmm2, No. 25
Volume: 12.5 Å³/atom
Energy relative to the elements: 0.497 eV per atom

# 3
Here is KCoF4 after structural relaxation from Alexandria via LeMat-Bulk. Energies are from PBEsol.

Geometry as POSCAR:
```
KCoF4
1.0
5.7594 0.0000 0.0000
0.0000 7.5849 0.0000
0.0000 0.0000 7.5851
K Co F
4 4 16
Direct
0.4997 0.0000 0.5000 K
0.5003 0.5000 0.0000 K
0.4258 0.0000 0.0000 K
0.5742 0.5000 0.5000 K
0.0000 0.2486 0.2515 Co
0.0000 0.7514 0.7485 Co
0.0000 0.2514 0.7515 Co
0.0000 0.7486 0.2485 Co
0.1089 0.9979 0.2615 F
0.1089 0.0021 0.7385 F
0.8911 0.5021 0.7615 F
0.8911 0.4979 0.2385 F
0.2922 0.3072 0.3147 F
0.2922 0.6928 0.6853 F
0.7078 0.1928 0.8147 F
0.7078 0.8072 0.1853 F
0.1089 0.2630 0.0022 F
0.1089 0.7370 0.9978 F
0.8911 0.2370 0.5022 F
0.8911 0.7630 0.4978 F
0.2923 0.6859 0.3074 F
0.2923 0.3141 0.6926 F
0.7077 0.8141 0.8074 F
0.7077 0.1859 0.1926 F
```

Values from the calculation:
SG: P2_12_12, No. 18
Volume: 13.8 Å³/atom
E_form (uncorrected): -2.135 eV/atom

# 4
Here is Na2P2H4N2O5 after structural relaxation from Alexandria via LeMat-Bulk. Energies are from PBEsol.

Geometry as POSCAR:
```
Na2P2H4N2O5
1.0
5.0260 0.0000 0.0000
2.5130 11.1192 -0.0304
2.5130 0.2536 11.2420
Na P H N O
8 8 16 8 20
Direct
0.4321 0.9132 0.8944 Na
0.8336 0.8925 0.5990 Na
0.3251 0.6075 0.9010 Na
0.2397 0.5868 0.6056 Na
0.7603 0.4132 0.3944 Na
0.6749 0.3925 0.0990 Na
0.1664 0.1075 0.4010 Na
0.5679 0.0868 0.1056 Na
0.8505 0.9242 0.3115 P
0.8811 0.8124 0.0810 P
0.7745 0.6876 0.4190 P
0.0862 0.5758 0.1885 P
0.9138 0.4242 0.8115 P
0.2255 0.3124 0.5810 P
0.1189 0.1876 0.9190 P
0.1495 0.0758 0.6885 P
0.2315 0.8709 0.1504 H
0.4397 0.8509 0.3686 H
0.9521 0.8044 0.8511 H
0.3546 0.7933 0.7101 H
0.8579 0.7067 0.7899 H
0.6076 0.6956 0.6489 H
0.6591 0.6491 0.1314 H
0.2528 0.6291 0.3496 H
0.7472 0.3709 0.6504 H
0.3409 0.3509 0.8686 H
0.3924 0.3044 0.3511 H
0.1421 0.2933 0.2101 H
0.6454 0.2067 0.2899 H
0.0479 0.1956 0.1489 H
0.5603 0.1491 0.6314 H
0.7685 0.1291 0.8496 H
0.0179 0.8736 0.1753 N
0.6521 0.8264 0.3695 N
0.8480 0.6736 0.1305 N
0.0668 0.6264 0.3247 N
0.9332 0.3736 0.6753 N
0.1520 0.3264 0.8695 N
0.3479 0.1736 0.6305 N
0.9821 0.1264 0.8247 N
0.3477 0.9556 0.6980 O
0.0719 0.9207 0.3831 O
0.5901 0.8832 0.0773 O
0.0967 0.8040 0.9644 O
0.8399 0.7952 0.7910 O
0.4260 0.7048 0.7090 O
0.8651 0.6960 0.5356 O
0.5506 0.6168 0.4227 O
0.3757 0.5793 0.1169 O
0.0013 0.5444 0.8020 O
0.9987 0.4556 0.1980 O
0.6243 0.4207 0.8831 O
0.4494 0.3832 0.5773 O
0.1349 0.3040 0.4644 O
0.5740 0.2952 0.2910 O
0.1601 0.2048 0.2090 O
0.9033 0.1960 0.0356 O
0.4099 0.1168 0.9227 O
0.9281 0.0793 0.6169 O
0.6523 0.0444 0.3020 O
```

Values from the calculation:
SG: C2/c, No. 15
Volume: 10.5 Å³/atom

# 5
Here is Ru2Se after structural relaxation from Alexandria via LeMat-Bulk. Energies are from PBEsol.

Geometry as POSCAR:
```
Ru2Se
1.0
-2.1001 1.5777 1.3649
-1.9235 0.5231 -3.5643
-0.8923 -3.2196 2.3485
Ru Se
2 1
Direct
0.7473 0.3333 0.6667 Ru
0.2527 0.6667 0.3333 Ru
0.0000 0.0000 0.0000 Se
```

Values from the calculation:
SG: P-3m1, No. 164
Volume: 14.3 Å³/atom
E_form (uncorrected): 0.261 eV/atom

# 6
Here is RhC2 after structural relaxation from Alexandria via LeMat-Bulk. Energies are from PBEsol.

Geometry as POSCAR:
```
RhC2
1.0
-1.5504 1.9913 -0.3664
-0.2395 -1.4339 2.0952
6.0799 5.5620 4.5013
C Rh
4 2
Direct
0.6667 0.3333 0.4882 C
0.3333 0.6667 0.9882 C
0.3333 0.6667 0.5118 C
0.6667 0.3333 0.0118 C
0.6667 0.3333 0.2500 Rh
0.3333 0.6667 0.7500 Rh
```

Values from the calculation:
SG: P6_3/mmc, No. 194
Volume: 8.8 Å³/atom
Energy relative to the elements: 0.441 eV per atom

# 7
Here is Sr3CaRu2O9 after structural relaxation from Alexandria via LeMat-Bulk. Energies are from PBEsol.

Geometry as POSCAR:
```
Sr3CaRu2O9
1.0
5.6931 0.0000 0.0000
0.0000 9.8023 -0.0018
0.0000 -0.0165 13.9358
Sr Ca Ru O
12 4 8 36
Direct
0.4658 0.8326 0.5823 Sr
0.4613 0.4931 0.2477 Sr
0.0342 0.3326 0.5823 Sr
0.5346 0.8329 0.0873 Sr
0.4654 0.1671 0.9127 Sr
0.9613 0.0069 0.7523 Sr
0.9654 0.3329 0.0873 Sr
0.0387 0.9931 0.2477 Sr
0.5342 0.1674 0.4177 Sr
0.9658 0.6674 0.4177 Sr
0.5387 0.5069 0.7523 Sr
0.0346 0.6671 0.9127 Sr
0.5000 0.5000 0.0000 Ca
0.0000 0.0000 0.5000 Ca
0.5000 0.5000 0.5000 Ca
0.0000 0.0000 0.0000 Ca
0.4982 0.8288 0.3306 Ru
0.0018 0.3288 0.3306 Ru
0.5042 0.1624 0.1702 Ru
0.9982 0.6712 0.6694 Ru
0.9958 0.6624 0.1702 Ru
0.5018 0.1712 0.6694 Ru
0.4958 0.8376 0.8298 Ru
0.0042 0.3376 0.8298 Ru
0.9868 0.7964 0.0717 O
0.1963 0.6035 0.5703 O
0.2313 0.8725 0.4059 O
0.2153 0.2599 0.2259 O
0.2150 0.2156 0.7498 O
0.8025 0.4474 0.9054 O
0.3025 0.0526 0.0946 O
0.4864 0.0207 0.2740 O
0.2847 0.7599 0.2259 O
0.7687 0.1275 0.5941 O
0.3037 0.1035 0.5703 O
0.9849 0.1534 0.3838 O
0.0132 0.2036 0.9283 O
0.2699 0.4247 0.8817 O
0.9864 0.4793 0.7260 O
0.5132 0.2964 0.0717 O
0.0136 0.5207 0.2740 O
0.2850 0.7156 0.7498 O
0.6975 0.9474 0.9054 O
0.7301 0.5753 0.1183 O
0.7153 0.2401 0.7741 O
0.4849 0.3466 0.6162 O
0.7850 0.7844 0.2502 O
0.7847 0.7401 0.7741 O
0.4868 0.7036 0.9283 O
0.2301 0.9247 0.8817 O
0.5136 0.9793 0.7260 O
0.8037 0.3965 0.4297 O
0.5151 0.6534 0.3838 O
0.2687 0.3725 0.4059 O
0.0151 0.8466 0.6162 O
0.7313 0.6275 0.5941 O
0.7150 0.2844 0.2502 O
0.7699 0.0753 0.1183 O
0.6963 0.8965 0.4297 O
0.1975 0.5526 0.0946 O
```

Values from the calculation:
SG: P2_1/c, No. 14
Volume: 13.0 Å³/atom
E_form (uncorrected): -2.117 eV/atom

# 8
Here is KBeOs2 after structural relaxation from Alexandria via LeMat-Bulk. Energies are from PBEsol.

Geometry as POSCAR:
```
KBeOs2
1.0
2.7017 0.0000 0.0000
1.3508 2.3397 0.0000
1.3508 0.7799 9.4722
Be K Os
1 1 2
Direct
0.5000 0.5000 0.5000 Be
0.0000 0.0000 0.0000 K
0.2322 0.2322 0.3035 Os
0.7678 0.7678 0.6965 Os
```

Values from the calculation:
SG: R-3m, No. 166
Volume: 15.0 Å³/atom
Energy relative to the elements: 0.704 eV per atom

Final energy, record by record: -109.3 -30.6 -117.6 -371.8 -23.4 -52.2 -428.0 -26.8 eV/cell